A plane-wave DFT calculation with GGA-PBE was carried out for a geometry-optimized Tb6PrY2Tm3 structure.

abc: 6.1586 6.1586 11.7886
angles: 94.96 94.96 119.96
With the nearest neighbours (Å) after each atom.
Fractional positions:
Tb 0.0854 0.4189 0.7541  3 Tm 3.51-3.52, 6 Tb 3.55-3.56, 2 Y 3.59-3.60, 1 Pr 3.60
Tb 0.2482 0.2482 0.2460  3 Tm 3.52, 6 Tb 3.55-3.56, 1 Pr 3.59, 2 Y 3.60
Tb 0.4189 0.0854 0.7541  3 Tm 3.51-3.52, 6 Tb 3.55-3.56, 2 Y 3.59-3.60, 1 Pr 3.60
Tb 0.5811 0.9146 0.2459  3 Tm 3.51-3.52, 6 Tb 3.55-3.56, 2 Y 3.59-3.60, 1 Pr 3.60
Tb 0.7518 0.7518 0.7540  3 Tm 3.52, 6 Tb 3.55-3.56, 1 Pr 3.59, 2 Y 3.60
Tb 0.9146 0.5811 0.2459  3 Tm 3.51-3.52, 6 Tb 3.55-3.56, 2 Y 3.59-3.60, 1 Pr 3.60
Pr 0.0000 0.0000 0.5000  6 Y 3.55-3.56, 6 Tb 3.59-3.60
Y 0.3333 0.6667 0.5000  3 Pr 3.55-3.56, 3 Y 3.56, 6 Tb 3.59-3.60
Y 0.6667 0.3333 0.5000  3 Pr 3.55-3.56, 3 Y 3.56, 6 Tb 3.59-3.60
Tm 0.1671 0.8329 0.0000  6 Tb 3.51-3.52, 6 Tm 3.55-3.56
Tm 0.5000 0.5000 0.0000  6 Tb 3.52, 6 Tm 3.55-3.56
Tm 0.8329 0.1671 0.0000  6 Tb 3.51-3.52, 6 Tm 3.55-3.56

Values from the calculation:
Space-group type: C2/m
Formation energy in eV per atom: 0.020

***

A plane-wave DFT calculation with GGA-PBE was carried out for a geometry-optimized Tb2PrY4Tm2 structure.

abc: 9.5092 9.5092 9.5590
angles: 115.20 115.20 21.82
With the nearest neighbours (Å) after each atom.
Fractional positions:
Tb 0.1486 0.1486 0.1681  3 Tm 3.51-3.53, 7 Y 3.54-3.60, 2 Tb 3.60
Tb 0.8514 0.8514 0.8319  3 Tm 3.51-3.53, 7 Y 3.54-3.60, 2 Tb 3.60
Pr 0.0000 0.0000 0.5000  6 Y 3.56, 2 Pr 3.60, 4 Tm 3.62
Y 0.1860 0.1860 0.8341  6 Y 3.53-3.61, 3 Tb 3.55-3.58, 2 Tm 3.55, 1 Pr 3.56
Y 0.4810 0.4810 0.1640  5 Y 3.50-3.61, 4 Tb 3.54-3.60, 2 Pr 3.56, 1 Tm 3.58
Y 0.5190 0.5190 0.8360  5 Y 3.50-3.61, 4 Tb 3.54-3.60, 2 Pr 3.56, 1 Tm 3.58
Y 0.8140 0.8140 0.1659  6 Y 3.53-3.61, 3 Tb 3.55-3.58, 2 Tm 3.55, 1 Pr 3.56
Tm 0.3315 0.3315 0.4998  3 Tb 3.51-3.53, 4 Tm 3.54-3.60, 3 Y 3.55-3.58, 2 Pr 3.62
Tm 0.6685 0.6685 0.5002  3 Tb 3.51-3.53, 4 Tm 3.54-3.60, 3 Y 3.55-3.58, 2 Pr 3.62

Values from the calculation:
Space-group type: C2/m
Formation energy in eV per atom: 0.003

***

A plane-wave DFT calculation with GGA-PBE was carried out for a geometry-optimized Tb3Pr2YTm6 structure.

abc: 6.1559 6.1559 11.7165
angles: 95.01 95.01 119.96
With the nearest neighbours (Å) after each atom.
Fractional positions:
Tb 0.0000 0.0000 0.0000  6 Tm 3.51, 6 Tb 3.55-3.56
Tb 0.3334 0.6666 0.0000  6 Tm 3.51, 6 Tb 3.55-3.56
Tb 0.6666 0.3334 0.0000  6 Tm 3.51, 6 Tb 3.55-3.56
Pr 0.1665 0.8335 0.5000  3 Pr 3.55-3.56, 3 Y 3.55, 6 Tm 3.57
Pr 0.8335 0.1665 0.5000  3 Pr 3.55-3.56, 3 Y 3.55, 6 Tm 3.57
Y 0.5000 0.5000 0.5000  6 Pr 3.55, 6 Tm 3.57
Tm 0.0819 0.4152 0.2470  3 Tb 3.51, 6 Tm 3.55-3.56, 2 Pr 3.57, 1 Y 3.57
Tm 0.2518 0.2518 0.7533  3 Tb 3.51, 6 Tm 3.55-3.56, 1 Y 3.57, 2 Pr 3.57
Tm 0.4152 0.0819 0.2470  3 Tb 3.51, 6 Tm 3.55-3.56, 2 Pr 3.57, 1 Y 3.57
Tm 0.5848 0.9181 0.7530  3 Tb 3.51, 6 Tm 3.55-3.56, 2 Pr 3.57, 1 Y 3.57
Tm 0.7482 0.7482 0.2467  3 Tb 3.51, 6 Tm 3.55-3.56, 1 Y 3.57, 2 Pr 3.57
Tm 0.9181 0.5848 0.7530  3 Tb 3.51, 6 Tm 3.55-3.56, 2 Pr 3.57, 1 Y 3.57

Values from the calculation:
Space-group type: C2/m
Formation energy in eV per atom: 0.022

***

A plane-wave DFT calculation with GGA-PBE was carried out for a geometry-optimized TbPr2Y2Tm4 structure.

abc: 9.5010 9.5010 9.5489
angles: 115.26 115.26 21.82
With the nearest neighbours (Å) after each atom.
Fractional positions:
Tb 0.0000 0.0000 0.0000  6 Tm 3.55-3.56, 4 Pr 3.56, 2 Tb 3.60
Pr 0.3346 0.3346 0.9980  3 Tm 3.55, 2 Tb 3.56, 3 Y 3.59-3.60, 4 Pr 3.60-3.65
Pr 0.6654 0.6654 0.0020  3 Tm 3.55, 2 Tb 3.56, 3 Y 3.59-3.60, 4 Pr 3.60-3.65
Y 0.1463 0.1463 0.6614  7 Tm 3.46-3.62, 3 Pr 3.59-3.60, 2 Y 3.60
Y 0.8537 0.8537 0.3386  7 Tm 3.46-3.62, 3 Pr 3.59-3.60, 2 Y 3.60
Tm 0.1852 0.1852 0.3380  3 Y 3.46-3.62, 6 Tm 3.49-3.60, 2 Pr 3.55, 1 Tb 3.56
Tm 0.4803 0.4803 0.6650  4 Y 3.48-3.59, 5 Tm 3.53-3.60, 2 Tb 3.55, 1 Pr 3.55
Tm 0.5197 0.5197 0.3350  4 Y 3.48-3.59, 5 Tm 3.53-3.60, 2 Tb 3.55, 1 Pr 3.55
Tm 0.8148 0.8148 0.6620  3 Y 3.46-3.62, 6 Tm 3.49-3.60, 2 Pr 3.55, 1 Tb 3.56

Values from the calculation:
Space-group type: C2/m
Formation energy in eV per atom: -0.001

***

Calculated E, -4.89, -5.42, -4.71, -5.00 eV per atom (same order as the records).